[1]
CrCoIr2, single point on PBEsol structure, DFT meta-GGA SCAN; space group = I-4m2; V = 99.5 Å³ per cell; DFT formation energy = -0.16 eV per atom
1.0
3.6467 0.0000 0.0000
0.0000 3.6467 0.0000
0.0000 0.0000 7.4791
Cr Co Ir
2 2 4
Cartesian
0.0000 0.0000 0.0000
1.8233 1.8233 3.7395
0.0000 1.8233 5.6093
1.8233 0.0000 1.8698
0.0000 0.0000 3.7395
0.0000 1.8233 1.8698
1.8233 0.0000 5.6093
1.8233 1.8233 0.0000


[2]
KCu3Te2, single point on PBEsol structure, DFT meta-GGA SCAN; space group = C2/m; energy relative to the elements, uncorrected = -376 meV/atom; V = 267.4 Å³ per cell
1.0
7.9789 -2.0925 0.0000
7.9789 2.0925 0.0000
-3.1710 0.0000 8.0096
K Cu Te
2 6 4
Cartesian
2.0330 0.0000 0.3972
10.7538 0.0000 7.6124
-0.4520 0.0000 3.3411
3.1991 0.0000 4.2435
5.4287 0.0000 3.1902
7.3582 0.0000 4.8194
9.5878 0.0000 3.7661
13.2388 0.0000 4.6686
0.9798 0.0000 5.5072
5.1754 0.0000 6.1462
7.6114 0.0000 1.8634
11.8070 0.0000 2.5024


[3]
LaPb2W, single point on PBEsol structure, DFT meta-GGA SCAN; space group = Cmm2; V = 204.3 Å³ per cell; DFT formation energy = 0.55 eV per atom
1.0
3.6039 0.0000 0.0000
0.0000 5.1664 0.0000
0.0000 0.0000 10.9702
La Pb W
2 4 2
Cartesian
0.0000 0.0000 0.0000
1.8020 2.5832 0.0000
0.0000 0.0000 4.5894
0.0000 2.5832 7.8823
1.8020 0.0000 7.8823
1.8020 2.5832 4.5894
0.0000 2.5832 2.3169
1.8020 0.0000 2.3169